# 1
Compound: Na2NdPuO4
Source: the Alexandria database
Functional: PBE
Structure: optimized geometry

Computed properties:
crystal system	monoclinic
E	-61.456	eV per cell
energy relative to the elements, uncorrected	-2.486	eV/atom

```
data_Na2NdPuO4
_cell_length_a 5.997
_cell_length_b 3.559
_cell_length_c 6.148
_cell_angle_alpha 90.00
_cell_angle_beta 110.05
_cell_angle_gamma 90.00
_symmetry_space_group_name_H-M 'P 1 2/m 1'
_symmetry_Int_Tables_number 10
_symmetry_space_group_name_Hall '-P 2y'
loop_
_atom_site_label
_atom_site_fract_x
_atom_site_fract_y
_atom_site_fract_z
_atom_site_occupancy
Na1 0.000 0.000 0.000 1
Na2 0.000 0.500 0.500 1
Nd1 0.500 0.000 0.500 1
Pu1 0.500 0.500 0.000 1
O1 0.282 0.500 0.256 1
O2 0.286 0.000 0.769 1
```


# 2
Compound: NaNdPuO4
Source: the Alexandria database
Functional: PBE
Structure: optimized geometry

Computed properties:
crystal system	orthorhombic
E	-238.749	eV per cell
energy relative to the elements, uncorrected	-2.777	eV/atom

```
data_NaNdPuO4
_cell_length_a 6.983
_cell_length_b 7.178
_cell_length_c 9.975
_cell_angle_alpha 90.00
_cell_angle_beta 90.00
_cell_angle_gamma 90.00
_symmetry_space_group_name_H-M 'I m m a'
_symmetry_Int_Tables_number 74
_symmetry_space_group_name_Hall '-I 2b 2'
loop_
_atom_site_label
_atom_site_fract_x
_atom_site_fract_y
_atom_site_fract_z
_atom_site_occupancy
Na1 0.000 0.250 0.111 1
Nd1 0.000 0.000 0.500 1
Pu1 0.250 0.250 0.750 1
O1 0.000 0.048 0.739 1
O2 0.222 0.250 0.528 1
```


# 3
Compound: NaNdReO6
Source: the Alexandria database
Functional: PBE
Structure: optimized geometry

Computed properties:
crystal system	monoclinic
E	-131.715	eV per cell
energy relative to the elements, uncorrected	-1.953	eV/atom

```
data_NaNdReO6
_cell_length_a 5.563
_cell_length_b 9.719
_cell_length_c 4.925
_cell_angle_alpha 90.00
_cell_angle_beta 91.53
_cell_angle_gamma 90.00
_symmetry_space_group_name_H-M 'C 1 2 1'
_symmetry_Int_Tables_number 5
_symmetry_space_group_name_Hall 'C 2y'
loop_
_atom_site_label
_atom_site_fract_x
_atom_site_fract_y
_atom_site_fract_z
_atom_site_occupancy
Na1 0.000 0.000 0.000 1
Nd1 0.000 0.676 0.500 1
Re1 0.000 0.324 0.000 1
O1 0.107 0.492 0.808 1
O2 0.145 0.207 0.765 1
O3 0.217 0.829 0.782 1
```


Question: E of number 1 (Na2NdPuO4)?
Answer: -61.456 eV per cell